# BeSn2Ru2, optimized geometry, DFT PBE-GGA
data_BeSn2Ru2
_chemical_formula_sum 'Be2 Sn4 Ru4'
_symmetry_space_group_name_H-M 'P 4/m b m'
_symmetry_Int_Tables_number 127
_symmetry_space_group_name_Hall '-P 4 2ab'
_cell_length_a 6.3751
_cell_length_b 6.3751
_cell_length_c 4.0733
_cell_angle_alpha 90.00
_cell_angle_beta 90.00
_cell_angle_gamma 90.00
loop_
_atom_site_label
_atom_site_fract_x
_atom_site_fract_y
_atom_site_fract_z
Be1 0.0000 0.0000 0.0000
Sn1 0.1629 0.3371 0.5000
Ru1 0.1524 0.6524 0.0000
# Final energy   -6.083 eV per atom
# Volume   16.6 Å³ per atom
# Energy above the lowest structure with this stoichiometry   0.0 kJ per mole of atoms
# ΔH_f (0 K)   -0.03 eV/atom

---

# BeSn2Ru2, optimized geometry, DFT PBE-GGA
data_BeSn2Ru2
_chemical_formula_sum 'Be2 Sn4 Ru4'
_symmetry_space_group_name_H-M 'I 4/m m m'
_symmetry_Int_Tables_number 139
_symmetry_space_group_name_Hall '-I 4 2'
_cell_length_a 4.4221
_cell_length_b 4.4221
_cell_length_c 10.6714
_cell_angle_alpha 90.00
_cell_angle_beta 90.00
_cell_angle_gamma 90.00
loop_
_atom_site_label
_atom_site_fract_x
_atom_site_fract_y
_atom_site_fract_z
Be1 0.0000 0.0000 0.0000
Sn1 0.0000 0.0000 0.3746
Ru1 0.0000 0.5000 0.2500
# Final energy   -5.284 eV per atom
# Volume   20.9 Å³ per atom
# Energy above the lowest structure with this stoichiometry   77.1 kJ per mole of atoms
# ΔH_f (0 K)   0.77 eV/atom

---

> The lowest energy above the lowest structure with this stoichiometry belongs to which entry?

number 1

---

> What is the ΔH_f (0 K) in the second record?

0.77 eV/atom

---

Copy entry 2 word for word.
# BeSn2Ru2, optimized geometry, DFT PBE-GGA
data_BeSn2Ru2
_chemical_formula_sum 'Be2 Sn4 Ru4'
_symmetry_space_group_name_H-M 'I 4/m m m'
_symmetry_Int_Tables_number 139
_symmetry_space_group_name_Hall '-I 4 2'
_cell_length_a 4.4221
_cell_length_b 4.4221
_cell_length_c 10.6714
_cell_angle_alpha 90.00
_cell_angle_beta 90.00
_cell_angle_gamma 90.00
loop_
_atom_site_label
_atom_site_fract_x
_atom_site_fract_y
_atom_site_fract_z
Be1 0.0000 0.0000 0.0000
Sn1 0.0000 0.0000 0.3746
Ru1 0.0000 0.5000 0.2500
# Final energy   -5.284 eV per atom
# Volume   20.9 Å³ per atom
# Energy above the lowest structure with this stoichiometry   77.1 kJ per mole of atoms
# ΔH_f (0 K)   0.77 eV/atom

---

Copy entry 2 word for word.
# BeSn2Ru2, optimized geometry, DFT PBE-GGA
data_BeSn2Ru2
_chemical_formula_sum 'Be2 Sn4 Ru4'
_symmetry_space_group_name_H-M 'I 4/m m m'
_symmetry_Int_Tables_number 139
_symmetry_space_group_name_Hall '-I 4 2'
_cell_length_a 4.4221
_cell_length_b 4.4221
_cell_length_c 10.6714
_cell_angle_alpha 90.00
_cell_angle_beta 90.00
_cell_angle_gamma 90.00
loop_
_atom_site_label
_atom_site_fract_x
_atom_site_fract_y
_atom_site_fract_z
Be1 0.0000 0.0000 0.0000
Sn1 0.0000 0.0000 0.3746
Ru1 0.0000 0.5000 0.2500
# Final energy   -5.284 eV per atom
# Volume   20.9 Å³ per atom
# Energy above the lowest structure with this stoichiometry   77.1 kJ per mole of atoms
# ΔH_f (0 K)   0.77 eV/atom